No. 1
A geometry-optimized Pm12CoHg6 structure. Source: the Alexandria database, functional PBE-GGA.

a b c (Å): 8.3830 8.3830 8.3830
angles (deg): 94.31 94.31 94.31
Last column: nearest neighbours and their distance in Å.
Positions (direct):
Hg (0.3522, 0.1438, 0.7395)  8 Pm 3.12-3.39
Hg (0.7395, 0.3522, 0.1438)  8 Pm 3.12-3.39
Hg (0.1438, 0.7395, 0.3522)  8 Pm 3.12-3.39
Hg (0.2605, 0.6478, 0.8562)  8 Pm 3.12-3.39
Hg (0.6478, 0.8562, 0.2605)  8 Pm 3.12-3.39
Hg (0.8562, 0.2605, 0.6478)  8 Pm 3.12-3.39
Pm (0.0827, 0.3095, 0.9698)  1 Co 2.67
Pm (0.9173, 0.6905, 0.0302)  1 Co 2.67
Pm (0.5765, 0.4596, 0.8005)  4 Hg 3.12-3.31
Pm (0.1995, 0.4235, 0.5404)  4 Hg 3.12-3.31
Pm (0.8005, 0.5765, 0.4596)  4 Hg 3.12-3.31
Pm (0.0302, 0.9173, 0.6905)  1 Co 2.67
Pm (0.9698, 0.0827, 0.3095)  1 Co 2.67
Pm (0.3095, 0.9698, 0.0827)  1 Co 2.67
Pm (0.5404, 0.1995, 0.4235)  4 Hg 3.12-3.31
Pm (0.4235, 0.5404, 0.1995)  4 Hg 3.12-3.31
Pm (0.4596, 0.8005, 0.5765)  4 Hg 3.12-3.31
Pm (0.6905, 0.0302, 0.9173)  1 Co 2.67
Co (0.0000, 0.0000, 0.0000)  6 Pm 2.67

Values from the calculation:
The total energy is -70.150 eV for the cell shown. The density comes out at 8.539 g/cm3. As for the magnetization: 0.00 μB per cell. The calculation puts the formation enthalpy at 0 K at -4.2 eV/f.u.

No. 2
A geometry-optimized Pm7Co2Hg2 structure. Source: the Alexandria database, functional PBE-GGA.

a b c (Å): 3.7230 9.8239 9.8239
angles (deg): 60.78 79.08 79.08
Last column: nearest neighbours and their distance in Å.
Positions (direct):
Pm (0.6358, 0.4653, 0.2631)  2 Co 2.81
Pm (0.3642, 0.7369, 0.5347)  2 Co 2.81
Pm (0.8156, 0.0898, 0.2790)  2 Co 2.83
Pm (0.5000, 0.0206, 0.9794)  3 Hg 3.23-3.38
Pm (0.1473, 0.1046, 0.6008)  2 Co 2.82
Pm (0.8527, 0.3992, 0.8954)  2 Co 2.82
Pm (0.1844, 0.7210, 0.9102)  2 Co 2.83
Co (0.7370, 0.8636, 0.6625)  6 Pm 2.81-2.83
Co (0.2630, 0.3375, 0.1364)  6 Pm 2.81-2.83
Hg (0.5000, 0.3602, 0.6398)  7 Pm 3.25-3.38
Hg (0.0000, 0.7553, 0.2447)  8 Pm 3.23-3.39

Values from the calculation:
The total energy is -50.277 eV for the cell shown. The density comes out at 8.327 g/cm3. As for the magnetization: 0.00 μB per cell. The calculation puts the formation enthalpy at 0 K at -2.2 eV/f.u.

No. 3
A geometry-optimized Pm8CoHg2 structure. Source: the Alexandria database, functional PBE-GGA.

a b c (Å): 5.2614 6.9638 9.3624
angles (deg): 100.55 106.32 90.00
Last column: nearest neighbours and their distance in Å.
Positions (direct):
Pm (0.7973, 0.6911, 0.5947)  3 Hg 3.05-3.29
Pm (0.3529, 0.0362, 0.7058)  1 Co 2.70
Pm (0.5880, 0.4393, 0.1761)  1 Co 3.16, 3 Pm 3.43-3.45
Pm (0.9792, 0.2216, 0.9584)  2 Co 3.11, 1 Hg 3.14, 3 Pm 3.31-3.45
Pm (0.2027, 0.3089, 0.4053)  3 Hg 3.05-3.29
Pm (0.0208, 0.7784, 0.0416)  2 Co 3.11, 1 Hg 3.14, 3 Pm 3.31-3.45
Pm (0.6471, 0.9638, 0.2942)  1 Co 2.70
Pm (0.4120, 0.5607, 0.8239)  1 Co 3.16, 3 Pm 3.43-3.45
Hg (0.1924, 0.7418, 0.3848)  7 Pm 3.05-3.29
Hg (0.8076, 0.2582, 0.6152)  7 Pm 3.05-3.29
Co (0.5000, 0.0000, 0.0000)  2 Pm 2.70

Values from the calculation:
The total energy is -47.448 eV for the cell shown. The density comes out at 8.325 g/cm3. As for the magnetization: 0.00 μB per cell. The calculation puts the formation enthalpy at 0 K at -1.7 eV/f.u.

No. 4
A geometry-optimized Pm7Co2Hg structure. Source: the Alexandria database, functional PBE-GGA.

a b c (Å): 5.0316 8.1654 8.1654
angles (deg): 111.32 90.00 90.00
Last column: nearest neighbours and their distance in Å.
Positions (direct):
Pm (0.5000, 0.5000, 0.5000)  2 Co 2.75
Pm (0.5000, 0.0500, 0.3106)  2 Co 2.78-3.11
Pm (0.5000, 0.9500, 0.6894)  2 Co 2.78-3.11
Pm (0.5000, 0.3106, 0.0500)  2 Co 2.78-3.11
Pm (0.0000, 0.3015, 0.6985)  2 Co 2.52
Pm (0.5000, 0.6894, 0.9500)  2 Co 2.78-3.11
Pm (0.0000, 0.6985, 0.3015)  2 Co 2.52
Co (0.5000, 0.2961, 0.7039)  5 Pm 2.52-2.78
Co (0.5000, 0.7039, 0.2961)  5 Pm 2.52-2.78
Hg (0.0000, 0.0000, 0.0000)  8 Pm 3.49

Values from the calculation:
The total energy is -47.613 eV for the cell shown. The density comes out at 7.085 g/cm3. As for the magnetization: 0.00 μB per cell. The calculation puts the formation enthalpy at 0 K at 0.2 eV/f.u.

No. 5
A geometry-optimized Pm3CoHg2 structure. Source: the Alexandria database, functional PBE-GGA.

a b c (Å): 5.2630 7.2699 8.6179
angles (deg): 89.97 107.86 90.00
Last column: nearest neighbours and their distance in Å.
Positions (direct):
Pm (0.4975, 0.7500, 0.0000)  2 Co 2.63
Pm (0.1331, 0.0000, 0.2659)  2 Co 2.84
Pm (0.8669, 0.0000, 0.7341)  2 Co 2.84
Pm (0.8669, 0.5001, 0.7341)  2 Co 2.84
Pm (0.5025, 0.2500, 0.0000)  2 Co 2.63
Pm (0.1331, 0.4999, 0.2659)  2 Co 2.84
Hg (0.6956, 0.2503, 0.3910)  2 Hg 3.18, 7 Pm 3.21-3.36
Hg (0.6957, 0.7503, 0.3910)  2 Hg 3.18, 7 Pm 3.21-3.36
Hg (0.3043, 0.2497, 0.6090)  2 Hg 3.18, 7 Pm 3.21-3.36
Hg (0.3044, 0.7497, 0.6090)  2 Hg 3.18, 7 Pm 3.21-3.36
Co (0.9976, 0.7500, 0.0000)  6 Pm 2.63-2.84
Co (0.0024, 0.2500, 0.0000)  6 Pm 2.63-2.84

Values from the calculation:
The total energy is -47.360 eV for the cell shown. The density comes out at 9.472 g/cm3. As for the magnetization: 0.00 μB per cell. The calculation puts the formation enthalpy at 0 K at -1.7 eV/f.u.

No. 6
A geometry-optimized Pm8Co2Hg structure. Source: the Alexandria database, functional PBE-GGA.

a b c (Å): 5.5935 8.0317 8.0317
angles (deg): 115.86 97.81 97.81
Last column: nearest neighbours and their distance in Å.
Positions (direct):
Pm (0.3060, 0.6083, 0.6083)  4 Pm 3.19-3.45, 1 Hg 3.24, 2 Co 3.32
Pm (0.5000, 0.2439, 0.7561)  2 Co 2.87
Pm (0.5000, 0.7561, 0.2439)  2 Co 2.87
Pm (0.9342, 0.9204, 0.6639)  2 Co 2.81-2.83
Pm (0.9342, 0.6639, 0.9204)  2 Co 2.81-2.83
Pm (0.0658, 0.3361, 0.0796)  2 Co 2.81-2.83
Pm (0.6940, 0.3917, 0.3917)  4 Pm 3.19-3.45, 1 Hg 3.24, 2 Co 3.32
Pm (0.0658, 0.0796, 0.3361)  2 Co 2.81-2.83
Co (0.0000, 0.2914, 0.7086)  6 Pm 2.81-2.87
Co (0.0000, 0.7086, 0.2914)  6 Pm 2.81-2.87
Hg (0.5000, 0.0000, 0.0000)  4 Pm 3.24-3.32

Values from the calculation:
The total energy is -53.034 eV for the cell shown. The density comes out at 7.822 g/cm3. As for the magnetization: 0.00 μB per cell. The calculation puts the formation enthalpy at 0 K at -0.5 eV/f.u.

No. 7
A geometry-optimized Pm2Co2Hg structure. Source: the Alexandria database, functional PBE-GGA.

a b c (Å): 4.0328 3.9035 7.2007
angles (deg): 105.73 90.00 90.00
Last column: nearest neighbours and their distance in Å.
Positions (direct):
Pm (0.5000, 0.6344, 0.2689)  6 Co 2.95-3.00
Pm (0.5000, 0.3656, 0.7311)  6 Co 2.95-3.00
Hg (0.0000, 0.0000, 0.0000)  2 Co 2.91
Co (0.0000, 0.2100, 0.4200)  2 Co 2.25
Co (0.0000, 0.7900, 0.5800)  2 Co 2.25

Values from the calculation:
The total energy is -25.346 eV for the cell shown. The density comes out at 9.260 g/cm3. As for the magnetization: 1.69 μB per cell. The calculation puts the formation enthalpy at 0 K at -1.3 eV/f.u.

No. 8
A geometry-optimized Pm7Co2Hg2 structure. Source: the Alexandria database, functional PBE-GGA.

a b c (Å): 6.8639 7.1793 6.8639
angles (deg): 90.00 109.56 90.00
Last column: nearest neighbours and their distance in Å.
Positions (direct):
Hg (0.8192, 0.5000, 0.8192)  1 Hg 2.86, 2 Pm 3.16
Hg (0.1808, 0.5000, 0.1808)  1 Hg 2.86, 2 Pm 3.16
Pm (0.5002, 0.7641, 0.4998)  2 Co 2.86-2.87, 2 Hg 3.16
Pm (0.4998, 0.2359, 0.5002)  2 Co 2.86-2.87, 2 Hg 3.16
Pm (0.0002, 0.7542, 0.4997)  2 Co 2.70
Pm (0.0000, 0.0000, 0.0000)  2 Co 3.30
Pm (0.5003, 0.7542, 0.9998)  2 Co 2.70
Pm (0.9998, 0.2458, 0.5003)  2 Co 2.70
Pm (0.4997, 0.2458, 0.0002)  2 Co 2.70
Co (0.7060, 0.0000, 0.2940)  6 Pm 2.70-2.87
Co (0.2940, 0.0000, 0.7060)  6 Pm 2.70-2.87

Values from the calculation:
The total energy is -49.672 eV for the cell shown. The density comes out at 7.992 g/cm3. As for the magnetization: 0.00 μB per cell. The calculation puts the formation enthalpy at 0 K at -1.6 eV/f.u.

No. 9
A geometry-optimized Pm3Co2Hg structure. Source: the Alexandria database, functional PBE-GGA.

a b c (Å): 3.4867 3.4867 11.2644
angles (deg): 90.00 90.00 90.00
Last column: nearest neighbours and their distance in Å.
Positions (direct):
Pm (0.0000, 0.0000, 0.0000)  8 Co 3.03
Pm (0.0000, 0.0000, 0.6971)  4 Co 2.97, 4 Hg 3.32
Pm (0.0000, 0.0000, 0.3029)  4 Co 2.97, 4 Hg 3.32
Co (0.5000, 0.5000, 0.8434)  8 Pm 2.97-3.03
Co (0.5000, 0.5000, 0.1566)  8 Pm 2.97-3.03
Hg (0.5000, 0.5000, 0.5000)  8 Pm 3.32, 4 Hg 3.49

Values from the calculation:
The total energy is -29.672 eV for the cell shown. The density comes out at 9.136 g/cm3. As for the magnetization: 1.06 μB per cell. The calculation puts the formation enthalpy at 0 K at -0.9 eV/f.u.

No. 10
A geometry-optimized Pm2CoHg structure. Source: the Alexandria database, functional PBE-GGA.

a b c (Å): 3.9849 3.9849 8.1011
angles (deg): 75.76 75.76 60.00
Last column: nearest neighbours and their distance in Å.
Positions (direct):
Hg (0.5005, 0.5005, 0.4985)  6 Pm 3.31-3.32
Pm (0.2693, 0.2693, 0.1922)  3 Co 2.73
Pm (0.0647, 0.0647, 0.8060)  3 Co 2.76
Co (0.6656, 0.6656, 0.0033)  6 Pm 2.73-2.76

Values from the calculation:
The total energy is -17.670 eV for the cell shown. The density comes out at 8.543 g/cm3. As for the magnetization: 0.00 μB per cell. The calculation puts the formation enthalpy at 0 K at -0.8 eV/f.u.

No. 11
A geometry-optimized Pm3Co2Hg structure. Source: the Alexandria database, functional PBE-GGA.

a b c (Å): 3.9115 7.9810 9.5965
angles (deg): 90.00 90.00 90.00
Last column: nearest neighbours and their distance in Å.
Positions (direct):
Hg (0.0000, 0.9624, 0.9133)  7 Pm 3.18-3.37
Hg (0.0000, 0.4624, 0.0867)  7 Pm 3.18-3.37
Co (0.0000, 0.4897, 0.6854)  2 Co 2.26
Co (0.5000, 0.0515, 0.4204)  2 Co 2.26
Co (0.5000, 0.5515, 0.5796)  2 Co 2.26
Co (0.0000, 0.9897, 0.3146)  2 Co 2.26
Pm (0.5000, 0.1442, 0.1266)  3 Co 2.91-2.93, 4 Hg 3.18-3.23
Pm (0.0000, 0.8379, 0.5783)  6 Co 2.81-3.01
Pm (0.5000, 0.7157, 0.2685)  4 Co 2.97-3.26, 2 Hg 3.31
Pm (0.0000, 0.3379, 0.4217)  6 Co 2.81-3.01
Pm (0.5000, 0.2157, 0.7315)  4 Co 2.97-3.26, 2 Hg 3.31
Pm (0.5000, 0.6442, 0.8734)  3 Co 2.91-2.93, 4 Hg 3.18-3.23

Values from the calculation:
The total energy is -59.577 eV for the cell shown. The density comes out at 8.353 g/cm3. As for the magnetization: 2.52 μB per cell. The calculation puts the formation enthalpy at 0 K at -1.0 eV/f.u.

No. 12
A geometry-optimized Pm2CoHg structure. Source: the Alexandria database, functional PBE-GGA.

a b c (Å): 5.1675 5.1675 5.1675
angles (deg): 60.00 60.00 60.00
Last column: nearest neighbours and their distance in Å.
Positions (direct):
Hg (0.0000, 0.0000, 0.0000)  8 Pm 3.16
Co (0.5000, 0.5000, 0.5000)  8 Pm 3.16
Pm (0.2500, 0.2500, 0.2500)  4 Hg 3.16, 4 Co 3.16
Pm (0.7500, 0.7500, 0.7500)  4 Co 3.16, 4 Hg 3.16

Values from the calculation:
The total energy is -17.505 eV for the cell shown. The density comes out at 9.352 g/cm3. As for the magnetization: 0.55 μB per cell. The calculation puts the formation enthalpy at 0 K at -0.6 eV/f.u.